# Cs3NpBr7

Cs3NpBr7 after structural relaxation (PBE, the Alexandria database).

Cell: 8.3821 8.3821 9.2248 Å, 117.95 117.95 83.59°
Sites, in units of the cell vectors:
Cs: 0.0000 0.0000 0.0000
Cs: 0.2600 0.7086 0.4194
Cs: 0.7086 0.2600 0.4194
Np: 0.4443 0.4443 0.8735
Br: 0.1377 0.6050 0.6984
Br: 0.1427 0.1427 0.5005
Br: 0.2949 0.2949 0.0095
Br: 0.4611 0.7842 0.1708
Br: 0.6050 0.1377 0.6984
Br: 0.6292 0.6292 0.7935
Br: 0.7842 0.4611 0.1708

Output
formation energy without anion corrections = -1.539 eV per atom
magnetic moment = 3.00 Bohr magnetons per cell
density = 4.0 g/cm3